1.
CaZnI2O | Alexandria via LeMat-Bulk | SCAN | PBEsol geometry; crystal system = tetragonal; uncorrected formation energy = -581 meV per atom; polymorph energy (0 for the lowest one) = 439.3 meV/atom; uncorrected energy = -105.800 eV/cell
1.0
6.0102 0.0000 0.0000
0.0000 6.0102 0.0000
0.0000 0.0000 4.1483
Ca Zn I O
1 1 2 1
direct
0.0000 0.0000 0.0000
0.5000 0.5000 0.5000
0.0000 0.5000 0.0000
0.5000 0.0000 0.0000
0.0000 0.0000 0.5000



2.
Ba3Y2Br12 | Alexandria via LeMat-Bulk | SCAN | PBEsol geometry; crystal system = monoclinic; uncorrected formation energy = -2220 meV per atom; uncorrected energy = -891.186 eV/cell
1.0
5.4614 -7.7762 0.0000
5.4614 7.7762 0.0000
-4.9574 0.0000 14.2408
Ba Y Br
6 4 24
direct
0.1277 0.8723 0.7500
0.2209 0.4566 0.9401
0.4566 0.2209 0.4401
0.5434 0.7791 0.5599
0.7791 0.5434 0.0599
0.8723 0.1277 0.2500
0.0589 0.3435 0.5975
0.3435 0.0589 0.0975
0.6565 0.9411 0.9025
0.9411 0.6565 0.4025
0.0082 0.5159 0.7538
0.0875 0.1491 0.4474
0.1428 0.7389 0.0803
0.1491 0.0875 0.9474
0.1656 0.2191 0.7345
0.1666 0.6423 0.5666
0.2191 0.1656 0.2345
0.2611 0.8572 0.4197
0.3577 0.8334 0.9334
0.4081 0.4507 0.6135
0.4507 0.4081 0.1135
0.4841 0.9918 0.7462
0.5159 0.0082 0.2538
0.5493 0.5919 0.8865
0.5919 0.5493 0.3865
0.6423 0.1666 0.0666
0.7389 0.1428 0.5803
0.7809 0.8344 0.7655
0.8334 0.3577 0.4334
0.8344 0.7809 0.2655
0.8509 0.9125 0.0526
0.8572 0.2611 0.9197
0.9125 0.8509 0.5526
0.9918 0.4841 0.2462



3.
RbBeHg3 | Alexandria via LeMat-Bulk | SCAN | PBEsol geometry; crystal system = cubic; uncorrected energy = -225.313 eV/cell; energy of formation = 0.855 eV/atom
1.0
6.4648 0.0000 0.0000
0.0000 6.4648 0.0000
0.0000 0.0000 6.4648
Rb Be Hg
1 1 3
direct
0.0000 0.0000 0.0000
0.5000 0.5000 0.5000
0.0000 0.0000 0.5000
0.0000 0.5000 0.0000
0.5000 0.0000 0.0000



4.
Li2As2P | Alexandria via LeMat-Bulk | SCAN | PBEsol geometry; crystal system = tetragonal; uncorrected energy = -113.203 eV/cell; energy of formation = -0.208 eV/atom
1.0
7.5194 0.0000 0.0000
0.0000 7.5194 0.0000
0.0000 0.0000 2.7455
Li As P
4 4 2
direct
0.1145 0.3855 0.0000
0.3855 0.8855 0.0000
0.6145 0.1145 0.0000
0.8855 0.6145 0.0000
0.1871 0.6871 0.5000
0.3129 0.1871 0.5000
0.6871 0.8129 0.5000
0.8129 0.3129 0.5000
0.0000 0.0000 0.5000
0.5000 0.5000 0.5000



Look up the uncorrected energy of the first one.
-105.800 eV/cell